Version A
Ni2Ir2W after structural relaxation, computed with PBE-GGA.

Cell lengths 3.7593, 4.5961, 4.6584 Å; angles 81.21, 66.20, 65.86 degrees
Fractional positions:
Ni 0.3923 0.4051 0.8103
Ni 0.6077 0.5949 0.1897
Ir 0.8010 0.7962 0.6017
Ir 0.1990 0.2038 0.3983
W 0.0000 0.0000 0.0000

Values from the calculation:
M_tot = 0.000 μB/cell
space-group type = No. 12

=====

Version B
Ni2Ir2W after structural relaxation, computed with PBE-GGA.

Cell lengths 6.9482, 6.9482, 2.7888 Å; angles 90.00, 90.00, 90.00 degrees
Fractional positions:
Ni 0.3760 0.8760 0.0000
Ni 0.8760 0.6240 0.0000
Ni 0.6240 0.1240 0.0000
Ni 0.1240 0.3760 0.0000
Ir 0.1729 0.6729 0.5000
Ir 0.6729 0.8271 0.5000
Ir 0.8271 0.3271 0.5000
Ir 0.3271 0.1729 0.5000
W 0.0000 0.0000 0.0000
W 0.5000 0.5000 0.0000

Values from the calculation:
M_tot = 0.000 μB/cell
space-group type = No. 127

=====

Result of the stability comparison: version A is the most stable of them.